MnTcBr (PBE-GGA, relaxed); formation energy without anion corrections = 766.3 meV per atom; volume = 49.19 Å³ per cell; N(E_F) = 0.645 states/eV/atom; relative energy among the computed polymorphs = 317.1 meV per atom
1.0
-3.397 -2.598 0.609
3.692 -1.604 -1.565
0.950 -0.578 2.834
Tc Br Mn
1 1 1
Direct
0.333 0.667 0.834
0.000 0.000 0.833
0.667 0.333 0.333


Mn2TcBr (PBE-GGA, relaxed); formation energy without anion corrections = 769.1 meV per atom; volume = 62.43 Å³ per cell; N(E_F) = 1.212 states/eV/atom; relative energy among the computed polymorphs = 470.3 meV per atom
1.0
-1.798 3.938 -1.621
-3.920 2.447 -0.127
0.843 2.701 3.892
Mn Br Tc
2 1 1
Direct
0.010 0.010 0.970
0.490 0.490 0.530
0.250 0.250 0.250
0.750 0.750 0.750


MnTcBr (PBE-GGA, relaxed); formation energy without anion corrections = 767.8 meV per atom; volume = 53.83 Å³ per cell; N(E_F) = 0.508 states/eV/atom; relative energy among the computed polymorphs = 318.6 meV per atom
1.0
4.238 0.000 0.000
2.119 3.670 0.000
2.119 1.223 3.460
Tc Mn Br
1 1 1
Direct
0.750 0.750 0.750
0.500 0.500 0.500
0.000 0.000 0.000


Zr2MnTcBr (PBE-GGA, relaxed); formation energy without anion corrections = 887.0 meV per atom; volume = 111.96 Å³ per cell; N(E_F) = 1.167 states/eV/atom
1.0
4.950 0.000 0.000
0.000 4.569 0.000
0.000 0.000 4.950
Mn Tc Br Zr
1 1 1 2
Direct
0.500 0.500 0.500
0.000 0.500 0.000
0.000 0.000 0.000
0.500 0.000 0.000
0.000 0.000 0.500


ZrMnTcBr2 (PBE-GGA, relaxed); formation energy without anion corrections = 1060.0 meV per atom; volume = 150.15 Å³ per cell; N(E_F) = 0.963 states/eV/atom
1.0
-2.560 -4.359 1.238
3.678 -2.829 -2.357
2.820 -0.303 4.764
Br Mn Zr Tc
2 1 1 1
Direct
0.000 0.500 0.000
0.500 0.000 0.000
0.000 0.000 0.500
0.000 0.000 0.000
0.500 0.500 0.500


MnTeBr2 (PBE-GGA, relaxed); formation energy without anion corrections = 154.6 meV per atom; volume = 104.98 Å³ per cell; N(E_F) = 0.486 states/eV/atom; relative energy among the computed polymorphs = 505.1 meV per atom
1.0
3.499 0.000 0.000
0.000 6.298 0.000
0.000 0.000 4.764
Br Te Mn
2 1 1
Direct
0.000 0.000 0.000
0.500 0.500 0.000
0.000 0.500 0.500
0.500 0.000 0.500


MnTeBr2 (PBE-GGA, relaxed); formation energy without anion corrections = 212.3 meV per atom; volume = 111.29 Å³ per cell; N(E_F) = 0.505 states/eV/atom; relative energy among the computed polymorphs = 562.8 meV per atom
1.0
6.956 1.319 0.000
3.563 6.119 0.000
-5.260 -3.719 2.939
Br Te Mn
2 1 1
Direct
0.250 0.750 0.500
0.000 0.000 0.000
0.750 0.250 0.500
0.500 0.500 0.000


MnTe2Br (PBE-GGA, relaxed); formation energy without anion corrections = -7.4 meV per atom; volume = 108.02 Å³ per cell; N(E_F) = 1.352 states/eV/atom; relative energy among the computed polymorphs = 237.8 meV per atom
1.0
2.966 7.861 1.625
5.117 6.714 -1.401
1.564 8.175 -1.986
Te Br Mn
2 1 1
Direct
0.886 0.886 0.886
0.114 0.114 0.114
0.000 0.000 0.000
0.500 0.500 0.500


MnTe3Br (PBE-GGA, relaxed); formation energy without anion corrections = 371.2 meV per atom; volume = 130.58 Å³ per cell; N(E_F) = 1.946 states/eV/atom; relative energy among the computed polymorphs = 0.0 meV per atom
1.0
-0.614 -3.398 -3.717
2.436 -3.478 2.777
-4.408 -1.449 2.052
Br Mn Te
1 1 3
Direct
0.500 0.500 0.500
0.000 0.000 0.000
0.500 0.000 0.000
0.000 0.500 0.000
0.000 0.000 0.500


MnTeBr2 (PBE-GGA, relaxed); formation energy without anion corrections = -137.8 meV per atom; volume = 255.45 Å³ per cell; N(E_F) = 0.689 states/eV/atom; relative energy among the computed polymorphs = 212.7 meV per atom
1.0
9.750 0.000 0.000
0.000 9.750 0.000
4.875 4.875 2.687
Mn Br Te
2 4 2
Direct
0.500 0.500 0.000
0.250 0.750 0.500
0.296 0.625 0.250
0.454 0.125 0.250
0.375 0.546 0.750
0.875 0.704 0.750
0.000 0.000 0.000
0.750 0.250 0.500


Mn2TeBr (PBE-GGA, relaxed); formation energy without anion corrections = 252.9 meV per atom; volume = 97.41 Å³ per cell; N(E_F) = 0.811 states/eV/atom; relative energy among the computed polymorphs = 317.8 meV per atom
1.0
3.732 -0.078 0.000
-1.473 3.430 0.000
0.000 0.000 7.678
Te Mn Br
1 2 1
Direct
0.500 0.500 0.250
0.000 0.000 0.489
0.000 0.000 0.011
0.500 0.500 0.750


MnTeBr2 (PBE-GGA, relaxed); formation energy without anion corrections = -112.8 meV per atom; volume = 124.75 Å³ per cell; N(E_F) = 0.627 states/eV/atom; relative energy among the computed polymorphs = 237.7 meV per atom
1.0
-1.998 3.527 0.089
-0.095 -2.868 2.864
7.312 4.034 4.282
Br Te Mn
2 1 1
Direct
0.500 0.500 0.325
0.000 0.000 0.962
0.500 0.500 0.709
0.000 0.000 0.505